# 1
Compound: SrCaSn3
Source: Alexandria
Functional: PBE-GGA
Structure: relaxed

## Properties
Calculated formation energy (kcal/mol of atoms): -11.96
Total magnetization (μB per formula unit): 0.000
Volume (Å³/f.u.): 163.76
Offset from the most stable computed form (meV/atom): 0

The structure in POSCAR format:
```
SrCaSn3
1.0
4.499 0.000 0.000
0.000 4.723 0.000
0.000 -2.362 15.414
Sn Ca Sr
6 2 2
Direct
0.750 0.529 0.058 Sn
0.250 0.471 0.942 Sn
0.750 0.628 0.256 Sn
0.250 0.372 0.744 Sn
0.250 0.690 0.379 Sn
0.750 0.310 0.621 Sn
0.250 0.795 0.590 Ca
0.750 0.205 0.410 Ca
0.250 0.081 0.162 Sr
0.750 0.919 0.838 Sr
```

=====

# 2
Compound: La3Th5Ag12
Source: Alexandria
Functional: PBE-GGA
Structure: relaxed

## Properties
Calculated formation energy (kcal/mol of atoms): 9.98
Total magnetization (μB per formula unit): 0.000
Volume (Å³/f.u.): 647.80

The structure in POSCAR format:
```
La3Th5Ag12
1.0
-4.497 12.619 -6.719
-6.437 -1.042 13.494
14.902 0.218 1.577
La Ag Th
12 48 20
Direct
0.750 0.875 0.625 La
0.125 0.250 0.875 La
0.375 0.750 0.625 La
0.625 0.250 0.375 La
0.750 0.375 0.125 La
0.875 0.125 0.250 La
0.250 0.125 0.375 La
0.625 0.375 0.750 La
0.875 0.750 0.125 La
0.125 0.875 0.750 La
0.375 0.625 0.250 La
0.250 0.625 0.875 La
0.919 0.078 0.651 Ag
0.341 0.573 0.422 Ag
0.078 0.919 0.151 Ag
0.232 0.573 0.651 Ag
0.422 0.073 0.341 Ag
0.768 0.341 0.919 Ag
0.427 0.768 0.849 Ag
0.659 0.427 0.578 Ag
0.349 0.422 0.081 Ag
0.159 0.078 0.927 Ag
0.841 0.919 0.268 Ag
0.341 0.768 0.419 Ag
0.349 0.927 0.768 Ag
0.922 0.081 0.849 Ag
0.581 0.849 0.422 Ag
0.073 0.422 0.841 Ag
0.922 0.841 0.573 Ag
0.927 0.578 0.159 Ag
0.581 0.732 0.659 Ag
0.573 0.341 0.922 Ag
0.151 0.419 0.078 Ag
0.578 0.651 0.419 Ag
0.651 0.578 0.919 Ag
0.659 0.232 0.581 Ag
0.768 0.427 0.349 Ag
0.578 0.927 0.659 Ag
0.422 0.349 0.581 Ag
0.081 0.159 0.232 Ag
0.732 0.581 0.159 Ag
0.419 0.151 0.578 Ag
0.232 0.659 0.081 Ag
0.573 0.232 0.151 Ag
0.651 0.073 0.232 Ag
0.159 0.081 0.732 Ag
0.419 0.268 0.341 Ag
0.849 0.581 0.922 Ag
0.732 0.151 0.073 Ag
0.073 0.651 0.732 Ag
0.919 0.841 0.768 Ag
0.427 0.659 0.078 Ag
0.268 0.849 0.927 Ag
0.927 0.349 0.268 Ag
0.081 0.922 0.349 Ag
0.841 0.922 0.073 Ag
0.849 0.268 0.427 Ag
0.268 0.419 0.841 Ag
0.078 0.159 0.427 Ag
0.151 0.732 0.573 Ag
0.000 0.000 0.000 Th
0.625 0.875 0.250 Th
0.500 0.500 0.000 Th
0.250 0.375 0.625 Th
0.875 0.625 0.750 Th
0.500 0.000 0.500 Th
0.875 0.250 0.625 Th
0.375 0.250 0.125 Th
0.000 0.500 0.500 Th
0.500 0.500 0.500 Th
0.125 0.750 0.375 Th
0.625 0.750 0.875 Th
0.375 0.125 0.750 Th
0.000 0.000 0.500 Th
0.500 0.000 0.000 Th
0.750 0.625 0.375 Th
0.000 0.500 0.000 Th
0.250 0.875 0.125 Th
0.750 0.125 0.875 Th
0.125 0.375 0.250 Th
```

=====

# 3
Compound: YNi2Rh
Source: Alexandria
Functional: PBE-GGA
Structure: relaxed

## Properties
Calculated formation energy (kcal/mol of atoms): -3.05
Total magnetization (μB per formula unit): 0.000
Volume (Å³/f.u.): 62.87

The structure in POSCAR format:
```
YNi2Rh
1.0
3.173 0.000 0.000
0.000 3.467 0.000
0.000 0.000 5.715
Ni Y Rh
2 1 1
Direct
0.000 0.000 0.042 Ni
0.000 0.000 0.458 Ni
0.500 0.500 0.750 Y
0.500 0.500 0.250 Rh
```

=====

# 4
Compound: MgTl2SnO6
Source: Alexandria
Functional: PBE-GGA
Structure: relaxed

## Properties
Uncorrected energy (eV per atom): -5.367
Total magnetization (μB per formula unit): 0.000
Volume (Å³/f.u.): 130.47

The structure in POSCAR format:
```
MgTl2SnO6
1.0
5.577 0.000 0.000
2.789 4.830 0.000
2.789 1.610 4.843
Tl Sn O Mg
2 1 6 1
Direct
0.036 0.036 0.892 Tl
0.536 0.536 0.392 Tl
0.316 0.316 0.053 Sn
0.098 0.447 0.771 O
0.592 0.186 0.269 O
0.186 0.953 0.268 O
0.447 0.684 0.771 O
0.953 0.592 0.269 O
0.684 0.098 0.771 O
0.813 0.813 0.560 Mg
```